(1)
The following is a GGA-PBE calculation of U2IrAu after structural relaxation, from Alexandria.

Properties
**DOS at the Fermi energy**: 8.81 states/eV/cell
**Theoretical density**: 16.87 g cm⁻³
**V**: 85 Å³/f.u.
**E_form**: -3.52 kcal/mol of atoms

```
U2IrAu
1.0
-2.9034 2.2060 0.6423
-2.2584 -2.9305 -0.1440
0.7092 -0.8469 6.1144
U Ir Au
2 1 1
Direct
0.0000 0.0000 0.2022
0.0000 0.0000 0.7978
0.5000 0.5000 0.0000
0.5000 0.5000 0.5000
```

***

(2)
The following is a GGA-PBE calculation of U2IrAu after structural relaxation, from Alexandria.

Properties
**DOS at the Fermi energy**: 10.19 states/eV/cell
**Theoretical density**: 17.87 g cm⁻³
**V**: 80 Å³/f.u.
**E_form**: 3.46 kcal/mol of atoms

```
U2IrAu
1.0
-2.2921 -0.0909 -1.7441
-0.1650 -2.0092 -2.0590
-5.9770 -7.5912 5.8700
Ir Au U
1 1 2
Direct
0.5000 0.5000 0.5000
0.0000 0.0000 0.0000
0.9079 0.9079 0.2763
0.0921 0.0921 0.7237
```

***

(3)
The following is a GGA-PBE calculation of VIr2Au after structural relaxation, from Alexandria.

Properties
**Distance to the lowest polymorph of the same formula**: 0.0000 eV per atom
**DOS at the Fermi energy**: 2.10 states/eV/cell
**Theoretical density**: 17.25 g cm⁻³
**V**: 61 Å³/f.u.
**E_form**: 2.45 kcal/mol of atoms

```
VIr2Au
1.0
0.0000 3.1223 3.1223
3.1223 0.0000 3.1223
3.1223 3.1223 0.0000
Ir Au V
2 1 1
Direct
0.7500 0.7500 0.7500
0.2500 0.2500 0.2500
0.5000 0.5000 0.5000
0.0000 0.0000 0.0000
```

***

(4)
The following is a GGA-PBE calculation of VIr2Au after structural relaxation, from Alexandria.

Properties
**Distance to the lowest polymorph of the same formula**: 0.1022 eV per atom
**DOS at the Fermi energy**: 1.67 states/eV/cell
**Theoretical density**: 15.84 g cm⁻³
**V**: 66 Å³/f.u.
**E_form**: 4.81 kcal/mol of atoms

```
VIr2Au
1.0
-6.2868 1.3467 -2.8591
-2.9762 -4.6644 4.3472
-5.0361 0.2795 2.5468
Au Ir V
2 4 2
Direct
0.0000 0.0000 0.0000
0.7500 0.2500 0.5000
0.5794 0.1250 0.2500
0.1706 0.6250 0.2500
0.3750 0.4206 0.7500
0.8750 0.8294 0.7500
0.2500 0.7500 0.5000
0.5000 0.5000 0.0000
```

***

(5)
The following is a GGA-PBE calculation of VIrAu3 after structural relaxation, from Alexandria.

Properties
**Distance to the lowest polymorph of the same formula**: 0.0000 eV per atom
**DOS at the Fermi energy**: 9.77 states/eV/cell
**Theoretical density**: 11.02 g cm⁻³
**V**: 126 Å³/f.u.
**E_form**: 28.76 kcal/mol of atoms

```
VIrAu3
1.0
-3.2900 -3.3212 -1.7988
1.2633 -3.2157 3.6267
-3.5595 1.9284 2.9497
Au Ir V
3 1 1
Direct
0.5000 0.0000 0.0000
0.0000 0.0000 0.5000
0.0000 0.5000 0.0000
0.0000 0.0000 0.0000
0.5000 0.5000 0.5000
```

***

(6)
The following is a GGA-PBE calculation of VIr2Au2 after structural relaxation, from Alexandria.

Properties
**Distance to the lowest polymorph of the same formula**: 0.0000 eV per atom
**DOS at the Fermi energy**: 7.79 states/eV/cell
**Theoretical density**: 16.15 g cm⁻³
**V**: 85 Å³/f.u.
**E_form**: 6.51 kcal/mol of atoms

```
VIr2Au2
1.0
6.3268 0.0000 0.0000
0.0000 6.3268 0.0000
0.0000 0.0000 4.2607
Au Ir V
4 4 2
Direct
0.3312 0.1688 0.5000
0.8312 0.3312 0.5000
0.1688 0.6688 0.5000
0.6688 0.8312 0.5000
0.1394 0.3606 0.0000
0.6394 0.1394 0.0000
0.3606 0.8606 0.0000
0.8606 0.6394 0.0000
0.0000 0.0000 0.0000
0.5000 0.5000 0.0000
```

***

(7)
The following is a GGA-PBE calculation of V2IrAu after structural relaxation, from Alexandria.

Properties
**DOS at the Fermi energy**: 9.52 states/eV/cell
**Theoretical density**: 12.45 g cm⁻³
**V**: 65 Å³/f.u.
**E_form**: 5.96 kcal/mol of atoms

```
V2IrAu
1.0
6.9931 0.0000 0.0000
0.0000 6.9931 0.0000
3.4965 3.4965 2.6780
V Ir Au
4 2 2
Direct
0.3750 0.4071 0.7500
0.5929 0.1250 0.2500
0.8750 0.8429 0.7500
0.1571 0.6250 0.2500
0.5000 0.5000 0.0000
0.2500 0.7500 0.5000
0.7500 0.2500 0.5000
0.0000 0.0000 0.0000
```

***

(8)
The following is a GGA-PBE calculation of V2IrAu after structural relaxation, from Alexandria.

Properties
**DOS at the Fermi energy**: 3.49 states/eV/cell
**Theoretical density**: 13.79 g cm⁻³
**V**: 59 Å³/f.u.
**E_form**: -5.55 kcal/mol of atoms

```
V2IrAu
1.0
2.7362 0.0000 0.0000
0.0000 2.7362 0.0000
0.0000 0.0000 7.8992
V Au Ir
2 1 1
Direct
0.0000 0.0000 0.7696
0.0000 0.0000 0.2304
0.5000 0.5000 0.5000
0.5000 0.5000 0.0000
```

***

(9)
The following is a GGA-PBE calculation of V2IrAu after structural relaxation, from Alexandria.

Properties
**DOS at the Fermi energy**: 3.41 states/eV/cell
**Theoretical density**: 14.02 g cm⁻³
**V**: 58 Å³/f.u.
**E_form**: -4.51 kcal/mol of atoms

```
V2IrAu
1.0
3.9253 0.0000 0.0000
0.0000 3.8499 0.0000
0.0000 0.0000 3.8499
Ir Au V
1 1 2
Direct
0.5000 0.5000 0.5000
0.5000 0.0000 0.0000
0.0000 0.0000 0.5000
0.0000 0.5000 0.0000
```

***

(10)
The following is a GGA-PBE calculation of VIrAu3 after structural relaxation, from Alexandria.

Properties
**Distance to the lowest polymorph of the same formula**: 0.3260 eV per atom
**DOS at the Fermi energy**: 6.84 states/eV/cell
**Theoretical density**: 12.95 g cm⁻³
**V**: 107 Å³/f.u.
**E_form**: 36.27 kcal/mol of atoms

```
VIrAu3
1.0
-3.5793 2.2432 -2.1650
1.9911 -0.8916 -4.2155
-2.3989 -4.0870 -0.2686
Au V Ir
3 1 1
Direct
0.5000 0.0000 0.0000
0.0000 0.0000 0.5000
0.0000 0.5000 0.0000
0.0000 0.0000 0.0000
0.5000 0.5000 0.5000
```

***

(11)
The following is a GGA-PBE calculation of VIr2Au2 after structural relaxation, from Alexandria.

Properties
**Distance to the lowest polymorph of the same formula**: 0.3140 eV per atom
**DOS at the Fermi energy**: 7.08 states/eV/cell
**Theoretical density**: 15.28 g cm⁻³
**V**: 90 Å³/f.u.
**E_form**: 13.75 kcal/mol of atoms

```
VIr2Au2
1.0
-3.5654 0.8114 0.5289
0.3797 -0.6849 3.6107
-0.0007 6.3864 3.1018
Au V Ir
2 1 2
Direct
0.2500 0.7500 0.5000
0.7500 0.2500 0.5000
0.0000 0.0000 0.0000
0.4083 0.4083 0.1833
0.5917 0.5917 0.8167
```

***

(12)
The following is a GGA-PBE calculation of Ir2WAu after structural relaxation, from Alexandria.

Properties
**Distance to the lowest polymorph of the same formula**: 0.2167 eV per atom
**DOS at the Fermi energy**: 5.98 states/eV/cell
**Theoretical density**: 20.19 g cm⁻³
**V**: 63 Å³/f.u.
**E_form**: 4.07 kcal/mol of atoms

```
Ir2WAu
1.0
9.4434 -0.0026 -0.0015
9.0306 2.7615 -0.0015
9.0306 1.3486 2.4098
W Ir Au
1 2 1
Direct
0.5043 0.5043 0.5043
0.9967 0.9967 0.9967
0.2488 0.2488 0.2488
0.7502 0.7502 0.7502
```

***

Which of these has the highest E_form? number 10